Tb5ScGe4 after structural relaxation, computed with PBE.

The calculation puts the density of states at the Fermi level at 0.56 states/eV per atom. The space group is C2/m (12). The energy relative to the elements comes out at -0.624 eV/atom.

Unit cell a=8.0495 b=8.0495 c=6.8317 alpha=90.18 beta=90.18 gamma=35.23
Fractional positions:
1 Tb 0.0000 0.0000 0.0000
2 Tb 0.3356 0.3356 0.0015
3 Tb 0.3361 0.3361 0.4937
4 Tb 0.6639 0.6639 0.5063
5 Tb 0.6644 0.6644 0.9985
6 Sc 0.0000 0.0000 0.5000
7 Ge 0.1770 0.1770 0.7486
8 Ge 0.4914 0.4914 0.7391
9 Ge 0.5087 0.5087 0.2609
10 Ge 0.8230 0.8230 0.2514

***

ReTeSN2 after structural relaxation, computed with PBE.

The calculation puts the density of states at the Fermi level at 0.75 states/eV per atom. The space group is P4/mmm (123). The energy above the most stable polymorph in this dataset is 143.0 meV/atom. The uncorrected formation energy comes out at 0.65 eV/atom.

Unit cell a=3.8949 b=3.8949 c=5.2538 alpha=90.00 beta=90.00 gamma=90.00
Fractional positions:
1 Re 0.0000 0.0000 0.0000
2 Te 0.5000 0.5000 0.5000
3 S 0.0000 0.0000 0.5000
4 N 0.0000 0.5000 0.0000
5 N 0.5000 0.0000 0.0000

***

AcMgSnPt2 after structural relaxation, computed with PBE.

The calculation puts the density of states at the Fermi level at 0.65 states/eV per atom. The space group is I-4m2 (119). The energy relative to the elements comes out at -0.934 eV/atom.

Unit cell a=6.8363 b=6.8363 c=6.8363 alpha=142.95 beta=142.95 gamma=53.41
Fractional positions:
1 Ac 0.0000 0.0000 0.0000
2 Mg 0.7500 0.2500 0.5000
3 Sn 0.2500 0.7500 0.5000
4 Pt 0.3882 0.3882 0.0000
5 Pt 0.6118 0.6118 0.0000